4
Lattice="3.2720 -1.8911 0.0000 3.2720 1.8911 0.0000 -2.1416 0.0000 5.5786" Properties=species:S:1:pos:R:3 comment="PBE Be2CuBr, optimized geometry" e_form_raw_ev_per_atom=0.157 crystal_system=monoclinic rho_g_cm3=3.9 space_group="No. 8" dft_energy_ev_per_atom=-3.148 pbc="T T T"
Be 0.0000 0.0000 0.0000
Be 2.2215 0.0000 5.1528
Cu 2.1827 0.0000 0.4813
Br 2.2773 0.0000 3.0333